[1]
Ca3Ta GGA-PBE relaxed; energy = -59.4 eV/cell; energy above the most stable polymorph in this dataset = 0.79 eV/f.u.; size of the total moment = 0.838 μB per atom; calculated density = 3.6 g cm⁻³; energy of formation = 0.7540 eV/atom
1.0
6.3531 0.0000 0.0000
0.0000 8.7954 0.0000
0.0000 0.0000 9.8514
Ca Ta
12 4
Direct
0.1137 0.3240 0.0581 Ca
0.6040 0.4697 0.2500 Ca
0.8863 0.6760 0.5581 Ca
0.8863 0.6760 0.9419 Ca
0.6137 0.1760 0.5581 Ca
0.8960 0.9697 0.2500 Ca
0.1040 0.0303 0.7500 Ca
0.3960 0.5303 0.7500 Ca
0.1137 0.3240 0.4419 Ca
0.6137 0.1760 0.9419 Ca
0.3863 0.8240 0.0581 Ca
0.3863 0.8240 0.4419 Ca
0.4125 0.1205 0.2500 Ta
0.9125 0.3795 0.7500 Ta
0.0875 0.6205 0.2500 Ta
0.5875 0.8795 0.7500 Ta



[2]
Rb2GaTeF6 GGA-PBE relaxed; energy = -41.9 eV/cell; size of the total moment = 0.100 μB per atom; raw formation energy = -2.259 eV per atom; calculated density = 3.9 g cm⁻³
1.0
7.0233 0.0000 0.0000
0.0000 7.0233 0.0000
3.5116 3.5116 4.2014
Ga Rb F Te
1 2 6 1
Direct
0.5000 0.5000 0.0000 Ga
0.2500 0.7500 0.5000 Rb
0.7500 0.2500 0.5000 Rb
0.3103 0.6897 0.0000 F
0.6897 0.6897 0.0000 F
0.2569 0.2569 0.4861 F
0.3103 0.3103 0.0000 F
0.6897 0.3103 0.0000 F
0.7431 0.7431 0.5139 F
0.0000 0.0000 0.0000 Te



[3]
CeNd2Te GGA-PBE relaxed; energy = -20.5 eV/cell; energy above the most stable polymorph in this dataset = 0.27 eV/f.u.; size of the total moment = 0.459 μB per atom; raw formation energy = -0.472 eV per atom; calculated density = 6.7 g cm⁻³
1.0
3.9784 0.0000 0.0000
1.9892 3.4454 0.0000
1.9892 1.1485 10.0568
Te Ce Nd
1 1 2
Direct
0.6669 0.6669 0.9992 Te
0.4995 0.4995 0.5015 Ce
0.2615 0.2615 0.2154 Nd
0.0720 0.0720 0.7840 Nd



[4]
Cs2YTa GGA-PBE relaxed; energy = -12.5 eV/cell; size of the total moment = 0.645 μB per atom; calculated density = 5.8 g cm⁻³; energy of formation = 1.8898 eV/atom
1.0
0.0000 4.2440 4.2440
4.2440 0.0000 4.2440
4.2440 4.2440 0.0000
Cs Y Ta
2 1 1
Direct
0.2500 0.2500 0.2500 Cs
0.7500 0.7500 0.7500 Cs
0.0000 0.0000 0.0000 Y
0.5000 0.5000 0.5000 Ta



[5]
Er3Tm3Sc2 GGA-PBE relaxed; energy = -37.8 eV/cell; energy above the most stable polymorph in this dataset = 1.24 eV/f.u.; size of the total moment = 0.872 μB per atom; calculated density = 7.5 g cm⁻³; energy of formation = 0.2502 eV/atom
1.0
-1.5648 -6.0403 -0.0191
5.8184 -1.5043 -1.6786
1.6189 -0.4360 6.0103
Er Sc Tm
3 2 3
Direct
0.2507 0.7493 0.0000 Er
0.7493 0.0000 0.7493 Er
0.0000 0.2507 0.2507 Er
0.7494 0.7494 0.2506 Sc
0.2506 0.2506 0.7494 Sc
0.2506 0.7494 0.5000 Tm
0.5000 0.2506 0.2506 Tm
0.7494 0.5000 0.7494 Tm



[6]
B2H6S GGA-PBE relaxed; energy = -34.6 eV/cell; energy above the most stable polymorph in this dataset = 2.33 eV/f.u.; size of the total moment = 0.000 μB per atom; calculated density = 1.3 g cm⁻³
1.0
-5.1407 -0.5846 -3.1108
-0.5656 -4.7369 1.0821
-5.6930 -3.7638 0.6139
S B H
1 2 6
Direct
0.0000 0.0000 0.0000 S
0.7557 0.8138 0.6713 B
0.2443 0.1862 0.3287 B
0.1918 0.7865 0.5439 H
0.8082 0.2135 0.4561 H
0.5172 0.9224 0.7480 H
0.4828 0.0776 0.2520 H
0.1319 0.1608 0.5956 H
0.8681 0.8392 0.4044 H



[7]
RbTl3B GGA-PBE relaxed; energy = -6.1 eV/cell; energy above the most stable polymorph in this dataset = 5.79 eV/f.u.; size of the total moment = 0.341 μB per atom; calculated density = 4.3 g cm⁻³; energy of formation = 1.7341 eV/atom
1.0
6.5127 0.0000 0.0000
0.0000 6.5127 0.0000
0.0000 0.0000 6.5127
Tl Rb B
3 1 1
Direct
0.0000 0.5000 0.0000 Tl
0.0000 0.0000 0.5000 Tl
0.5000 0.0000 0.0000 Tl
0.0000 0.0000 0.0000 Rb
0.5000 0.5000 0.5000 B



[8]
Rb2GaSb2 GGA-PBE relaxed; energy = -28.7 eV/cell; energy above the most stable polymorph in this dataset = 0.95 eV/f.u.; size of the total moment = 0.000 μB per atom; raw formation energy = -0.226 eV per atom; calculated density = 4.3 g cm⁻³
1.0
7.8925 0.0000 0.0000
0.0000 7.8925 0.0000
0.0000 0.0000 5.9649
Rb Sb Ga
4 4 2
Direct
0.6714 0.8286 0.5000 Rb
0.1714 0.6714 0.5000 Rb
0.3286 0.1714 0.5000 Rb
0.8286 0.3286 0.5000 Rb
0.1309 0.3691 0.0000 Sb
0.3691 0.8691 0.0000 Sb
0.8691 0.6309 0.0000 Sb
0.6309 0.1309 0.0000 Sb
0.5000 0.5000 0.0000 Ga
0.0000 0.0000 0.0000 Ga